This record from the Alexandria database describes a relaxed YHo3Cu4 crystal. The functional is PBE.

Cell lengths 3.447, 4.900, 9.800 Å; angles 90.00, 90.00, 90.00 degrees
Space group Pmmm (No. 47)
Inequivalent atoms, fractional coordinates:
Y (0.000, 0.000, 0.000) [1 per cell]
Ho (0.000, 0.000, 0.500) [1 per cell]
Ho (0.000, 0.500, 0.251) [2 per cell]
Cu (0.500, 0.000, 0.252) [2 per cell]
Cu (0.500, 0.500, 0.000) [1 per cell]
Cu (0.500, 0.500, 0.500) [1 per cell]

=====

This record from the Alexandria database describes a relaxed Y2HoCu crystal. The functional is PBE.

Cell lengths 3.6697, 3.6697, 28.9417 Å; angles 90.00, 90.00, 120.00 degrees
Space group R3m (No. 160, hexagonal axes)
Inequivalent atoms, fractional coordinates:
Y (0.0000, 0.0000, 0.0000) [3 per cell]
Y (0.0000, 0.0000, 0.1985) [3 per cell]
Ho (0.0000, 0.0000, 0.7651) [3 per cell]
Cu (0.0000, 0.0000, 0.5997) [3 per cell]

Summary:
Relative energy among the computed polymorphs   140.1 meV/atom

=====

This record from the Alexandria database describes a relaxed Y4HoCu5 crystal. The functional is PBE.

Cell lengths 3.458, 3.458, 17.554 Å; angles 90.00, 90.00, 90.00 degrees
Space group P4/mmm (No. 123)
Inequivalent atoms, fractional coordinates:
Y (0.000, 0.000, 0.100) [2 per cell]
Y (0.000, 0.000, 0.301) [2 per cell]
Ho (0.000, 0.000, 0.500) [1 per cell]
Cu (0.500, 0.500, 0.000) [1 per cell]
Cu (0.500, 0.500, 0.200) [2 per cell]
Cu (0.500, 0.500, 0.403) [2 per cell]

=====

This record from the Alexandria database describes a relaxed Y2Ho3Cu3 crystal. The functional is PBE.

Cell lengths 3.533, 5.083, 20.888 Å; angles 90.00, 90.00, 90.00 degrees
Space group Immm (No. 71)
Inequivalent atoms, fractional coordinates:
Y (0.000, 0.000, 0.225) [4 per cell]
Ho (0.000, 0.000, 0.000) [2 per cell]
Ho (0.000, 0.500, 0.115) [4 per cell]
Cu (0.000, 0.000, 0.500) [2 per cell]
Cu (0.000, 0.500, 0.387) [4 per cell]

=====

This record from the Alexandria database describes a relaxed Y2Ho3Cu4 crystal. The functional is PBE.

Cell lengths 8.447, 7.229, 7.049 Å; angles 90.00, 108.79, 90.00 degrees
Space group P2_1/c (No. 14)
Inequivalent atoms, fractional coordinates:
Y (0.189, 0.180, 0.062) [4 per cell]
Ho (0.234, 0.674, 0.230) [4 per cell]
Ho (0.500, 0.000, 0.500) [2 per cell]
Cu (0.065, 0.532, 0.849) [4 per cell]
Cu (0.491, 0.124, 0.879) [4 per cell]

=====

This record from the Alexandria database describes a relaxed YHo4Cu4 crystal. The functional is PBE.

Cell lengths 8.782, 8.782, 5.701 Å; angles 90.00, 90.00, 90.00 degrees
Space group P4_2/n (No. 86, origin choice 2)
Inequivalent atoms, fractional coordinates:
Y (0.250, 0.250, 0.250) [2 per cell]
Ho (0.066, 0.662, 0.152) [8 per cell]
Cu (0.025, 0.613, 0.635) [8 per cell]

=====

This record from the Alexandria database describes a relaxed YHoCu crystal. The functional is PBE.

Cell lengths 6.948, 4.888, 8.672 Å; angles 90.00, 90.00, 90.00 degrees
Space group Pnma (No. 62)
Inequivalent atoms, fractional coordinates:
Y (0.016, 0.250, 0.174) [4 per cell]
Ho (0.143, 0.250, 0.584) [4 per cell]
Cu (0.245, 0.250, 0.900) [4 per cell]

Summary:
Relative energy among the computed polymorphs   0.0 meV/atom

=====

This record from the Alexandria database describes a relaxed Y2HoCu crystal. The functional is PBE.

Cell lengths 4.969, 7.465, 6.338 Å; angles 90.00, 113.02, 90.00 degrees
Space group P2_1/m (No. 11)
Inequivalent atoms, fractional coordinates:
Y (0.148, 0.029, 0.296) [4 per cell]
Ho (0.457, 0.250, 0.914) [2 per cell]
Cu (0.305, 0.750, 0.608) [2 per cell]

Summary:
Relative energy among the computed polymorphs   51.1 meV/atom

=====

This record from the Alexandria database describes a relaxed YHo2Cu3 crystal. The functional is PBE.

Cell lengths 3.454, 3.454, 10.420 Å; angles 90.00, 90.00, 90.00 degrees
Space group P4/mmm (No. 123)
Inequivalent atoms, fractional coordinates:
Y (0.000, 0.000, 0.000) [1 per cell]
Ho (0.000, 0.000, 0.334) [2 per cell]
Cu (0.500, 0.500, 0.170) [2 per cell]
Cu (0.500, 0.500, 0.500) [1 per cell]

=====

This record from the Alexandria database describes a relaxed YHoCu2 crystal. The functional is PBE.

Cell lengths 3.461, 3.461, 6.951 Å; angles 90.00, 90.00, 90.00 degrees
Space group P4/mmm (No. 123)
Inequivalent atoms, fractional coordinates:
Y (0.000, 0.000, 0.000) [1 per cell]
Ho (0.000, 0.000, 0.500) [1 per cell]
Cu (0.500, 0.500, 0.258) [2 per cell]

Summary:
Relative energy among the computed polymorphs   4.5 meV/atom

=====

This record from the Alexandria database describes a relaxed YHo4Cu2 crystal. The functional is PBE.

Cell lengths 7.302, 6.425, 8.196 Å; angles 90.00, 110.26, 90.00 degrees
Space group P2_1/m (No. 11)
Inequivalent atoms, fractional coordinates:
Y (0.146, 0.250, 0.028) [2 per cell]
Ho (0.034, 0.250, 0.393) [2 per cell]
Ho (0.224, 0.750, 0.342) [2 per cell]
Ho (0.400, 0.006, 0.766) [4 per cell]
Cu (0.263, 0.750, 0.995) [2 per cell]
Cu (0.404, 0.250, 0.420) [2 per cell]

=====

This record from the Alexandria database describes a relaxed Y2HoCu crystal. The functional is PBE.

Cell lengths 3.5530, 3.5530, 32.0584 Å; angles 90.00, 90.00, 120.00 degrees
Space group R-3m (No. 166, hexagonal axes)
Inequivalent atoms, fractional coordinates:
Y (0.0000, 0.0000, 0.1057) [6 per cell]
Ho (0.0000, 0.0000, 0.0000) [3 per cell]
Cu (0.0000, 0.0000, 0.5000) [3 per cell]

Summary:
Relative energy among the computed polymorphs   360.1 meV/atom

=====

Asked for E_tot across the records above, the calculation gives -38.66 -64.47 -53.42 -80.26 -89.60 -83.02 -62.65 -43.69 -29.47 -20.25 -66.52 -61.83 eV for the cell shown in order.
Asked for calculated formation energy across the records above, the calculation gives -0.259 0.028 -0.251 -0.148 -0.195 -0.039 -0.175 -0.061 -0.261 -0.254 -0.042 0.248 eV/atom in order.